1.
Pr5NdTm6, optimized geometry, DFT PBE; crystal system = orthorhombic; energy of formation from the pure elements = 23 kJ/mol of formula units
1.0
-2.9800 -0.5069 -4.1630
7.3058 -4.9571 -4.6245
-4.9081 -3.9030 7.1690
Pr Tm Nd
5 6 1
Direct
0.6663 0.1663 0.3327 Pr
0.3334 0.3334 0.6669 Pr
0.0000 0.5000 0.0000 Pr
0.6666 0.6666 0.3331 Pr
0.3337 0.8337 0.6673 Pr
0.8335 0.5837 0.6668 Tm
0.8333 0.0831 0.6668 Tm
0.5002 0.7505 0.0000 Tm
0.4998 0.2495 0.0000 Tm
0.1667 0.9169 0.3332 Tm
0.1665 0.4163 0.3332 Tm
0.0000 0.0000 0.0000 Nd

2.
YPa2TiN5, optimized geometry, DFT PBE; crystal system = orthorhombic; formation energy from raw total energies = -1288 kJ/mol of formula units
1.0
-1.8399 2.3242 -1.7793
3.7118 -3.3591 -4.8672
-8.1258 -7.3129 -1.1499
Y Pa Ti N
2 4 2 10
Direct
0.7697 0.5394 0.4852 Y
0.2303 0.4606 0.9852 Y
0.8654 0.7308 0.7461 Pa
0.1252 0.2503 0.7094 Pa
0.1346 0.2692 0.2461 Pa
0.8748 0.7497 0.2094 Pa
0.5037 0.0075 0.9823 Ti
0.4963 0.9925 0.4823 Ti
0.3845 0.7691 0.0737 N
0.7042 0.4084 0.8326 N
0.4746 0.9491 0.8028 N
0.2829 0.5658 0.6441 N
0.9459 0.8917 0.5478 N
0.6155 0.2309 0.5737 N
0.2958 0.5916 0.3326 N
0.5254 0.0509 0.3028 N
0.7171 0.4342 0.1441 N
0.0541 0.1083 0.0478 N

3.
LiAl2Pd, optimized geometry, DFT PBE; crystal system = tetragonal; energy of formation from the pure elements = -204 kJ/mol of formula units
1.0
-1.1555 -2.7562 -1.3902
3.8368 -0.9159 -1.3733
0.7621 -2.0997 3.5294
Al Pd Li
2 1 1
Direct
0.0000 0.0000 0.5000 Al
0.0000 0.5000 0.0000 Al
0.5000 0.5000 0.5000 Pd
0.5000 0.0000 0.0000 Li

4.
HoErTh2P4, optimized geometry, DFT PBE; crystal system = monoclinic; energy of formation from the pure elements = -1220 kJ/mol of formula units
1.0
4.0753 0.0000 0.0000
0.0000 6.9949 -0.1116
0.0000 2.4876 6.6082
Ho Er Th P
1 1 2 4
Direct
0.5000 0.5000 0.0000 Ho
0.0000 0.5000 0.5000 Er
0.0000 0.0000 0.0000 Th
0.5000 0.0000 0.5000 Th
0.0000 0.7408 0.7526 P
0.0000 0.2592 0.2474 P
0.5000 0.7405 0.2538 P
0.5000 0.2595 0.7462 P